The following is a DFT calculation (PBE-GGA) of BeV2Ge2 after structural relaxation.

For the energy of formation from the pure elements, the calculation gives -5 meV per atom.

The structure belongs to space group P4/mbm (No. 127); the cell edges are 6.264, 6.264 and 3.489 Å and the angles 90.00°, 90.00° and 90.00°. The distinct sites, in fractional coordinates, are Be at (0.000, 0.000, 0.000), V at (0.159, 0.341, 0.500) and Ge at (0.144, 0.644, 0.000).